# 1
The following is a PBE-GGA calculation of an optimized crystal structure of Ac2Tb3Dy, from Alexandria via LeMat-Bulk.

Cell and atoms, written as extended XYZ:
```
12
Lattice="5.122 0.001 -1.148 -0.697 11.223 -3.125 -0.880 -1.432 8.106" Properties=species:S:1:pos:R:3 pbc="T T T"
Ac 2.073 9.612 -2.757
Ac 1.471 0.180 6.590
Ac 0.098 9.124 0.441
Ac 3.446 0.668 3.392
Tb -0.110 4.204 -0.488
Tb 3.654 5.588 4.322
Tb 3.003 3.698 1.406
Tb 0.541 6.094 2.427
Tb 2.546 6.554 -0.636
Tb 0.998 3.238 4.470
Dy 0.336 1.144 1.505
Dy 3.208 8.648 2.328
```

Calculated values
crystal system = triclinic
energy of formation from the pure elements = 0.3 eV/f.u.
calculated density = 8.4 g/cm3

***

# 2
The following is a PBE-GGA calculation of an optimized crystal structure of TbBe2TlF8, from Alexandria via LeMat-Bulk.

Cell and atoms, written as extended XYZ:
```
12
Lattice="-2.574 1.840 -4.065 -5.139 0.321 0.136 -2.020 8.250 1.749" Properties=species:S:1:pos:R:3 pbc="T T T"
Tb 0.000 0.000 0.000
Be -2.441 2.503 -0.586
Be -7.293 7.908 -1.594
Tl -4.867 5.205 -1.090
F -2.340 3.883 -0.025
F -3.127 2.470 -2.021
F -7.394 6.527 -2.155
F -3.299 1.526 0.333
F -6.435 8.884 -2.513
F -1.022 1.804 -0.762
F -8.712 8.606 -1.418
F -6.607 7.941 -0.159
```

Calculated values
crystal system = trigonal
DFT total energy = -5.765 eV/atom
calculated density = 4.7 g/cm3

***

# 3
The following is a PBE-GGA calculation of an optimized crystal structure of Tl2AgSb, from Alexandria via LeMat-Bulk.

Cell and atoms, written as extended XYZ:
```
4
Lattice="-1.688 4.330 0.075 -1.224 -0.533 3.253 5.143 1.927 4.484" Properties=species:S:1:pos:R:3 pbc="T T T"
Sb 2.218 3.270 5.168
Tl 3.903 1.392 7.474
Tl 0.329 2.582 2.356
Ag 1.659 0.570 4.421
```

Calculated values
crystal system = monoclinic
DFT total energy = -2.857 eV/atom
calculated density = 9.6 g/cm3

***

# 4
The following is a PBE-GGA calculation of an optimized crystal structure of Tb7Al2Ge2, from Alexandria via LeMat-Bulk.

Cell and atoms, written as extended XYZ:
```
11
Lattice="6.674 -0.003 -0.814 0.003 7.189 0.003 -1.228 -0.002 6.610" Properties=species:S:1:pos:R:3 pbc="T T T"
Tb 6.061 1.990 2.492
Tb 2.111 5.191 6.206
Tb -0.612 5.193 3.307
Tb 3.338 1.993 -0.406
Tb 0.000 0.000 0.000
Tb 2.726 5.303 2.900
Tb 2.724 1.881 2.899
Al 4.537 3.590 4.828
Al 0.913 3.594 0.971
Ge 4.403 7.186 1.326
Ge 1.047 -0.002 4.473
```

Calculated values
crystal system = orthorhombic
energy of formation from the pure elements = -3.2 eV/f.u.
calculated density = 7.0 g/cm3

***

# 5
The following is a PBE-GGA calculation of an optimized crystal structure of Y2CdHg2, from Alexandria via LeMat-Bulk.

Cell and atoms, written as extended XYZ:
```
10
Lattice="8.078 0.000 0.000 0.000 8.078 0.000 0.000 0.000 3.953" Properties=species:S:1:pos:R:3 pbc="T T T"
Y 1.358 5.397 1.976
Y 5.397 6.720 1.976
Y 6.720 2.681 1.976
Y 2.681 1.358 1.976
Hg 2.971 7.010 0.000
Hg 7.010 5.107 0.000
Hg 5.107 1.068 0.000
Hg 1.068 2.971 0.000
Cd 0.000 0.000 0.000
Cd 4.039 4.039 0.000
```

Calculated values
crystal system = tetragonal
energy of formation from the pure elements = -2.1 eV/f.u.
calculated density = 8.9 g/cm3

***

# 6
The following is a PBE-GGA calculation of an optimized crystal structure of Ac5La6, from Alexandria via LeMat-Bulk.

Cell and atoms, written as extended XYZ:
```
11
Lattice="-2.794 -6.174 0.526 2.220 -5.047 -3.527 7.380 -3.808 9.012" Properties=species:S:1:pos:R:3 pbc="T T T"
Ac 2.293 -4.991 4.769
Ac -0.079 -3.801 -1.118
Ac -0.495 -7.420 -1.883
Ac 4.718 -6.305 2.228
Ac 2.089 -8.724 3.783
La 3.493 -7.909 7.423
La 1.094 -2.073 2.116
La 5.715 -8.897 4.658
La 0.807 -9.821 0.451
La 1.091 -6.131 1.354
La 6.000 -5.207 5.561
```

Calculated values
crystal system = monoclinic
energy of formation from the pure elements = 1.8 eV/f.u.
calculated density = 7.0 g/cm3

***

# 7
The following is a PBE-GGA calculation of an optimized crystal structure of LaMoN3, from Alexandria via LeMat-Bulk.

Cell and atoms, written as extended XYZ:
```
10
Lattice="-0.865 -3.249 1.071 5.632 -0.350 -5.009 4.922 -0.015 2.980" Properties=species:S:1:pos:R:3 pbc="T T T"
Mo 6.970 -1.037 -1.201
Mo 2.178 -3.206 2.587
N 6.654 -1.685 -3.132
N 4.871 -0.633 -0.916
N 7.025 -1.406 1.001
N 6.710 -2.456 0.181
N 4.144 -0.468 0.105
N 8.896 -1.761 -1.782
La 5.440 -2.320 2.631
La 4.202 -2.823 -2.336
```

Calculated values
crystal system = triclinic
DFT total energy = -8.646 eV/atom
calculated density = 6.7 g/cm3

***

# 8
The following is a PBE-GGA calculation of an optimized crystal structure of Al2SiAs, from Alexandria via LeMat-Bulk.

Cell and atoms, written as extended XYZ:
```
4
Lattice="-0.060 -0.020 -3.720 3.646 -0.738 -0.055 -1.048 -5.183 0.045" Properties=species:S:1:pos:R:3 pbc="T T T"
As -0.393 -1.944 0.017
Si 0.876 -4.914 -1.848
Al -0.917 -4.535 0.039
Al 1.400 -2.322 -1.870
```

Calculated values
crystal system = tetragonal
DFT total energy = -4.329 eV/atom
calculated density = 3.6 g/cm3

***

# 9
The following is a PBE-GGA calculation of an optimized crystal structure of Tl4Te2Br, from Alexandria via LeMat-Bulk.

Cell and atoms, written as extended XYZ:
```
7
Lattice="-3.439 2.859 -0.491 -6.398 -4.207 -0.298 -3.354 0.876 7.980" Properties=species:S:1:pos:R:3 pbc="T T T"
Tl -3.796 -0.210 4.753
Tl -9.395 -0.262 2.439
Tl -3.281 -0.342 0.377
Tl -9.910 -0.131 6.815
Te -7.108 -0.588 5.135
Te -6.083 0.116 2.057
Br 0.000 0.000 0.000
```

Calculated values
crystal system = monoclinic
DFT total energy = -2.855 eV/atom
calculated density = 7.0 g/cm3

***

# 10
The following is a PBE-GGA calculation of an optimized crystal structure of VCdS3, from Alexandria via LeMat-Bulk.

Cell and atoms, written as extended XYZ:
```
5
Lattice="4.621 0.000 0.000 0.000 4.621 0.000 0.000 0.000 4.621" Properties=species:S:1:pos:R:3 pbc="T T T"
S 0.000 2.311 0.000
S 0.000 0.000 2.311
S 2.311 0.000 0.000
Cd 2.311 2.311 2.311
V 0.000 0.000 0.000
```

Calculated values
crystal system = cubic
DFT total energy = -4.676 eV/atom
calculated density = 4.4 g/cm3

***

# 11
The following is a PBE-GGA calculation of an optimized crystal structure of LaPa2MnN5, from Alexandria via LeMat-Bulk.

Cell and atoms, written as extended XYZ:
```
18
Lattice="6.607 0.000 0.000 0.000 6.607 0.000 -3.304 -3.304 5.602" Properties=species:S:1:pos:R:3 pbc="T T T"
La 0.000 0.000 2.801
La 3.304 3.304 2.801
Pa 1.150 2.153 0.000
Pa 4.454 1.150 0.000
Pa 2.153 5.457 0.000
Pa 5.457 4.454 0.000
Mn 0.000 3.304 2.801
Mn 3.304 0.000 2.801
N 5.637 2.333 1.506
N 2.333 -0.970 4.096
N -2.333 0.970 4.096
N -0.970 -2.333 4.096
N 0.970 2.333 4.096
N 4.274 5.637 1.506
N 2.333 0.970 1.506
N 0.970 4.274 1.506
N 3.304 3.304 0.000
N 0.000 0.000 0.000
```

Calculated values
crystal system = tetragonal
DFT total energy = -9.620 eV/atom
calculated density = 9.9 g/cm3

***

# 12
The following is a PBE-GGA calculation of an optimized crystal structure of CsAl4Ag4, from Alexandria via LeMat-Bulk.

Cell and atoms, written as extended XYZ:
```
18
Lattice="-3.913 -0.385 2.709 -0.877 -8.896 -2.531 5.252 -2.572 7.220" Properties=species:S:1:pos:R:3 pbc="T T T"
Cs 0.000 0.000 0.000
Cs 0.231 -5.926 3.699
Al 2.426 -5.991 6.861
Al 0.243 -8.016 7.628
Al -1.965 -5.861 0.537
Al 3.056 -2.506 4.058
Al 0.449 -9.763 3.469
Al 1.319 -8.961 0.631
Al -3.695 -4.222 2.479
Al 0.013 -2.089 3.929
Ag -1.090 -8.281 1.457
Ag 1.551 -3.571 5.941
Ag 2.858 -8.881 2.865
Ag 0.018 -5.312 7.687
Ag -3.470 -6.926 2.420
Ag -1.286 -3.340 1.876
Ag 1.748 -8.512 5.523
Ag 1.517 -2.586 1.824
```

Calculated values
crystal system = tetragonal
energy of formation from the pure elements = -0.6 eV/f.u.
calculated density = 5.4 g/cm3

***

# 13
The following is a PBE-GGA calculation of an optimized crystal structure of NdTm2Ir, from Alexandria via LeMat-Bulk.

Cell and atoms, written as extended XYZ:
```
4
Lattice="-3.666 0.499 1.141 -2.533 -2.914 -0.293 0.198 -3.629 8.789" Properties=species:S:1:pos:R:3 pbc="T T T"
Nd -3.001 -3.022 4.819
Ir 0.000 0.000 0.000
Tm -1.688 -1.277 1.705
Tm -4.313 -4.768 7.932
```

Calculated values
crystal system = trigonal
energy of formation from the pure elements = -1.5 eV/f.u.
calculated density = 9.3 g/cm3

***

# 14
The following is a PBE-GGA calculation of an optimized crystal structure of Tb3Ho2UN6, from Alexandria via LeMat-Bulk.

Cell and atoms, written as extended XYZ:
```
12
Lattice="5.990 0.000 0.001 -2.993 5.189 0.001 -0.999 -1.729 5.659" Properties=species:S:1:pos:R:3 pbc="T T T"
Tb -1.984 3.453 2.830
Tb 3.983 0.007 2.830
Tb 0.999 1.730 2.830
Ho 0.004 3.458 0.001
Ho 2.993 1.732 0.001
U 0.000 0.000 0.000
N 2.944 1.820 4.318
N 2.052 3.552 1.331
N -0.946 1.641 1.342
N 0.105 3.460 4.318
N -0.053 -0.092 4.329
N 1.894 0.001 1.342
```

Calculated values
crystal system = monoclinic
DFT total energy = -8.699 eV/atom
calculated density = 10.7 g/cm3

***

# 15
The following is a PBE-GGA calculation of an optimized crystal structure of Be2Au, from Alexandria via LeMat-Bulk.

Cell and atoms, written as extended XYZ:
```
9
Lattice="3.319 -5.749 0.000 3.319 5.749 0.000 0.000 0.000 2.857" Properties=species:S:1:pos:R:3 pbc="T T T"
Be 0.962 -1.667 0.000
Be 0.962 1.667 0.000
Be 4.714 0.000 0.000
Be 2.091 -3.622 1.428
Be 2.091 3.622 1.428
Be 2.456 0.000 1.428
Au 3.319 1.916 0.000
Au 3.319 -1.916 0.000
Au 0.000 0.000 1.428
```

Calculated values
crystal system = hexagonal
energy of formation from the pure elements = 0.0 eV/f.u.
calculated density = 9.8 g/cm3

***

# 16
The following is a PBE-GGA calculation of an optimized crystal structure of La4PmNd2Mg, from Alexandria via LeMat-Bulk.

Cell and atoms, written as extended XYZ:
```
8
Lattice="-0.085 -5.217 -2.938 5.801 -0.798 1.250 3.879 -4.463 7.814" Properties=species:S:1:pos:R:3 pbc="T T T"
La 7.223 -4.013 6.918
La 2.373 -6.465 -0.791
La 5.315 -4.259 1.308
La 4.280 -6.219 4.819
Pm 4.840 -2.631 4.532
Nd 3.795 -9.680 4.877
Nd 7.698 -5.638 3.689
Mg 6.737 -7.471 6.971
```

Calculated values
crystal system = tetragonal
energy of formation from the pure elements = 0.4 eV/f.u.
calculated density = 6.0 g/cm3

***

# 17
The following is a PBE-GGA calculation of an optimized crystal structure of Mn2Pt, from Alexandria via LeMat-Bulk.

Cell and atoms, written as extended XYZ:
```
3
Lattice="1.878 2.305 2.721 -2.970 1.545 -2.244 -1.773 -0.731 1.843" Properties=species:S:1:pos:R:3 pbc="T T T"
Mn 0.262 2.052 1.066
Mn -1.354 1.798 -0.589
Pt -0.887 -0.366 0.922
```

Calculated values
crystal system = hexagonal
energy of formation from the pure elements = 0.1 eV/f.u.
calculated density = 13.5 g/cm3

***

# 18
The following is a PBE-GGA calculation of an optimized crystal structure of Mg2Ir3, from Alexandria via LeMat-Bulk.

Cell and atoms, written as extended XYZ:
```
10
Lattice="8.598 -1.778 9.627 8.612 2.777 8.338 -1.722 -3.163 3.073" Properties=species:S:1:pos:R:3 pbc="T T T"
Mg 8.450 -2.637 12.217
Mg 7.184 0.354 8.669
Mg 10.282 -3.627 15.873
Mg 13.095 0.261 15.533
Ir 9.547 -0.289 11.766
Ir 5.836 -1.790 9.382
Ir 9.870 -1.610 14.234
Ir 13.257 -1.551 17.433
Ir 8.559 -1.746 9.669
Ir 3.832 -0.509 5.301
```

Calculated values
crystal system = orthorhombic
energy of formation from the pure elements = -0.3 eV/f.u.
calculated density = 13.3 g/cm3

***

# 19
The following is a PBE-GGA calculation of an optimized crystal structure of SmErTm2Au4, from Alexandria via LeMat-Bulk.

Cell and atoms, written as extended XYZ:
```
8
Lattice="5.061 0.000 0.000 2.531 4.383 0.000 2.531 1.461 8.350" Properties=species:S:1:pos:R:3 pbc="T T T"
Sm 0.000 0.000 0.000
Er 5.061 2.922 4.175
Tm 7.592 4.383 6.241
Tm 2.531 1.461 2.108
Au 5.061 2.922 7.207
Au 7.592 4.383 3.192
Au 2.531 1.461 5.158
Au 5.061 2.922 1.143
```

Calculated values
crystal system = trigonal
energy of formation from the pure elements = -6.9 eV/f.u.
calculated density = 12.9 g/cm3

***

# 20
The following is a PBE-GGA calculation of an optimized crystal structure of Ru2PtCl, from Alexandria via LeMat-Bulk.

Cell and atoms, written as extended XYZ:
```
8
Lattice="-1.583 4.733 0.474 -2.718 -1.310 4.003 2.714 2.966 5.953" Properties=species:S:1:pos:R:3 pbc="T T T"
Ru -0.578 3.318 2.263
Ru -1.291 0.732 4.071
Ru 0.297 3.448 6.328
Ru -1.603 5.280 8.198
Pt 0.000 0.000 0.000
Pt -0.510 4.705 4.333
Cl -2.151 1.711 2.239
Cl -1.077 1.683 6.097
```

Calculated values
crystal system = tetragonal
DFT total energy = -5.602 eV/atom
calculated density = 9.2 g/cm3